No. 1
# AsOs2Au PBE-GGA relaxed
data_AsOs2Au
_cell_length_a 2.8486
_cell_length_b 4.6934
_cell_length_c 4.7850
_cell_angle_alpha 90.00
_cell_angle_beta 90.00
_cell_angle_gamma 90.00
_symmetry_space_group_name_H-M 'P m m m'
_symmetry_Int_Tables_number 47
loop_
_symmetry_equiv_pos_as_xyz
'x,y,z'
'-x,-y,-z'
'-x,-y,z'
'x,y,-z'
'x,-y,-z'
'-x,y,z'
'-x,y,-z'
'x,-y,z'
loop_
_atom_site_label
_atom_site_fract_x
_atom_site_fract_y
_atom_site_fract_z
As1 0.0000 0.0000 0.0000
Os1 0.0000 0.5000 0.5000
Os2 0.5000 0.5000 0.0000
Au1 0.5000 0.0000 0.5000
# E_tot = -27.22 eV/cell
# E_form = 305 kJ/mol of formula units
# Calculated volume = 16.0 Å³ per atom
# DOS at the Fermi energy = 4.0 states/eV/cell

***

No. 2
# ZrTa2Fe PBE-GGA relaxed
data_ZrTa2Fe
_cell_length_a 2.9845
_cell_length_b 4.5195
_cell_length_c 5.2836
_cell_angle_alpha 90.00
_cell_angle_beta 102.10
_cell_angle_gamma 90.00
_symmetry_space_group_name_H-M 'P 1 2/m 1'
_symmetry_Int_Tables_number 10
loop_
_symmetry_equiv_pos_as_xyz
'x,y,z'
'-x,-y,-z'
'-x,y,-z'
'x,-y,z'
loop_
_atom_site_label
_atom_site_fract_x
_atom_site_fract_y
_atom_site_fract_z
Zr1 0.0000 0.0000 0.0000
Ta1 0.2848 0.5000 0.7362
Fe1 0.5000 0.0000 0.5000
# E_tot = -40.14 eV/cell
# Energy relative to the lowest polymorph listed for this composition = 172 meV/atom
# E_form = 55 kJ/mol of formula units
# Calculated volume = 17.4 Å³ per atom
# DOS at the Fermi energy = 3.9 states/eV/cell

***

No. 3
# Er2In5Hg12 PBE-GGA relaxed
data_Er2In5Hg12
_cell_length_a 16.6253
_cell_length_b 7.6019
_cell_length_c 9.0095
_cell_angle_alpha 90.00
_cell_angle_beta 108.72
_cell_angle_gamma 90.00
_symmetry_space_group_name_H-M 'C 1 2/m 1'
_symmetry_Int_Tables_number 12
loop_
_symmetry_equiv_pos_as_xyz
'x,y,z'
'-x,-y,-z'
'-x,y,-z'
'x,-y,z'
'x+1/2,y+1/2,z'
'-x+1/2,-y+1/2,-z'
'-x+1/2,y+1/2,-z'
'x+1/2,-y+1/2,z'
loop_
_atom_site_label
_atom_site_fract_x
_atom_site_fract_y
_atom_site_fract_z
Er1 0.0000 0.2320 0.0000
In1 0.0000 0.5000 0.5000
In2 0.1411 0.0000 0.8997
In3 0.2485 0.5000 0.5568
Hg1 0.0577 0.0000 0.2985
Hg2 0.0768 0.5000 0.2566
Hg3 0.1253 0.2151 0.6066
Hg4 0.2006 0.2870 0.1343
# E_tot = -53.77 eV/cell
# Energy relative to the lowest polymorph listed for this composition = 81 meV/atom
# E_form = -43 kJ/mol of formula units
# Calculated volume = 28.4 Å³ per atom
# DOS at the Fermi energy = 15.8 states/eV/cell